# Ca2MoWO6

A relaxed structure of Ca2MoWO6 (PBE+U, Alexandria via LeMat-Bulk).

Its density of states at the Fermi level is 0.00 states/eV per atom. For the theoretical density, the calculation gives 5.9 Mg/m³. The final energy is -0.266 Ha/atom. The calculation puts the energy above the most stable polymorph in this dataset at 0 meV per atom.

abc: 5.7553 5.5319 9.7270
angles: 55.36 90.00 90.00
Closest atoms and distances in Å follow each position.
Element x y z (fractional)
Ca 0.4482 0.2598 0.7522  5 O 2.32-2.59
Ca 0.9482 0.7402 0.7478  5 O 2.32-2.59
Ca 0.5518 0.7402 0.2478  5 O 2.32-2.59
Ca 0.0518 0.2598 0.2522  5 O 2.32-2.59
Mo 0.5000 0.0000 0.5000  6 O 2.16-2.17
Mo 0.0000 0.0000 0.0000  6 O 2.16-2.17
W 0.5000 0.5000 0.0000  6 O 1.97-2.04
W 0.0000 0.5000 0.5000  6 O 1.97-2.04
O 0.2104 0.3734 0.9356  1 W 2.04, 1 Mo 2.16
O 0.7104 0.6266 0.5644  1 W 2.04, 1 Mo 2.16
O 0.7896 0.6266 0.0644  1 W 2.04, 1 Mo 2.16
O 0.2896 0.3734 0.4356  1 W 2.04, 1 Mo 2.16
O 0.3084 0.7389 0.0478  1 W 1.97, 1 Mo 2.17
O 0.8084 0.2611 0.4522  1 W 1.97, 1 Mo 2.17
O 0.6916 0.2611 0.9522  1 W 1.97, 1 Mo 2.17
O 0.1916 0.7389 0.5478  1 W 1.97, 1 Mo 2.17
O 0.0490 0.1518 0.7419  1 W 2.04, 1 Mo 2.17
O 0.5490 0.8482 0.7581  1 W 2.04, 1 Mo 2.17
O 0.4510 0.1518 0.2419  1 W 2.04, 1 Mo 2.17
O 0.9510 0.8482 0.2581  1 W 2.04, 1 Mo 2.17